Record 1
! Li2Ta GGA-PBE relaxed; values from VASP
! **Polymorph energy (0 for the lowest one)**: 409 kJ/mol of formula units
! **Magnetic moment**: 0.00 μB per formula unit
! **E_form**: 1695 meV/atom
&SYSTEM
  ibrav = 0, nat = 3, ntyp = 2
/
ATOMIC_SPECIES
Li 6.94 Li.upf
Ta 180.95 Ta.upf
ATOMIC_POSITIONS angstrom
Li 2.1812 1.2593 0.8905
Li 6.5435 3.7779 2.6714
Ta 0.0000 0.0000 0.0000
CELL_PARAMETERS angstrom
4.3623 0.0000 0.0000
2.1812 3.7779 0.0000
2.1812 1.2593 3.5618

---

Record 2
! Cs3GaHg4 GGA-PBE relaxed; values from VASP
! **Magnetic moment**: 0.00 μB per formula unit
! **E_form**: -154 meV/atom
&SYSTEM
  ibrav = 0, nat = 8, ntyp = 3
/
ATOMIC_SPECIES
Cs 132.91 Cs.upf
Ga 69.72 Ga.upf
Hg 200.59 Hg.upf
ATOMIC_POSITIONS angstrom
Cs 1.6680 -0.9727 6.0304
Cs 5.1820 -3.0219 7.7598
Cs 0.6899 3.8054 2.0003
Ga -3.0215 1.7620 2.7172
Hg -3.0491 1.7781 5.5409
Hg -0.6540 0.3814 3.3975
Hg 2.5330 0.4248 2.5537
Hg -3.0537 4.0866 1.1664
CELL_PARAMETERS angstrom
7.5935 -0.2204 1.3873
-3.9314 6.5003 -1.3873
-2.1227 -2.9699 6.8051

---

Record 3
! CoGe2BiPb GGA-PBE relaxed; values from VASP
! **Magnetic moment**: 2.28 μB per formula unit
! **E_form**: 1546 meV/atom
&SYSTEM
  ibrav = 0, nat = 5, ntyp = 4
/
ATOMIC_SPECIES
Pb 207.20 Pb.upf
Ge 72.64 Ge.upf
Co 58.93 Co.upf
Bi 208.98 Bi.upf
ATOMIC_POSITIONS angstrom
Pb 0.0000 0.0000 0.0000
Ge 0.0000 0.0000 2.6695
Ge 2.6695 0.0000 0.0000
Co 2.6695 3.0125 2.6695
Bi 0.0000 3.0125 0.0000
CELL_PARAMETERS angstrom
5.3391 0.0000 0.0000
0.0000 6.0250 0.0000
0.0000 0.0000 5.3391

---

Record 4
! SmGaRhN GGA-PBE relaxed; values from VASP
! **Magnetic moment**: 0.00 μB per formula unit
! **Uncorrected energy**: -6.70 eV/atom
&SYSTEM
  ibrav = 0, nat = 8, ntyp = 4
/
ATOMIC_SPECIES
Sm 150.36 Sm.upf
Ga 69.72 Ga.upf
Rh 102.91 Rh.upf
N 14.01 N.upf
ATOMIC_POSITIONS angstrom
Sm 0.0000 1.9345 7.7164
Sm 1.9345 0.0000 1.2515
Ga 0.0000 1.9345 2.9697
Ga 1.9345 0.0000 5.9983
Rh 0.0000 0.0000 4.4840
Rh 1.9345 1.9345 4.4840
N 1.9345 0.0000 7.9389
N 0.0000 1.9345 1.0291
CELL_PARAMETERS angstrom
3.8689 0.0000 0.0000
0.0000 3.8689 0.0000
0.0000 0.0000 8.9680

---

Record 5
! ZrSiSb2Te GGA-PBE relaxed; values from VASP
! **Polymorph energy (0 for the lowest one)**: 26 kJ/mol of formula units
! **Magnetic moment**: 0.00 μB per formula unit
&SYSTEM
  ibrav = 0, nat = 5, ntyp = 4
/
ATOMIC_SPECIES
Sb 121.76 Sb.upf
Si 28.09 Si.upf
Te 127.60 Te.upf
Zr 91.22 Zr.upf
ATOMIC_POSITIONS angstrom
Sb 1.1966 -1.4698 -2.0391
Sb -1.2145 -2.3153 0.9562
Si 2.1473 -4.2560 0.5271
Te 2.1652 -0.4708 1.6100
Zr 0.0000 0.0000 0.0000
CELL_PARAMETERS angstrom
-2.4290 -4.6306 1.9125
2.3932 -2.9396 -4.0782
4.3304 -0.9417 3.2199

---

Record 6
! NaScC GGA-PBE relaxed; values from VASP
! **Polymorph energy (0 for the lowest one)**: 143 kJ/mol of formula units
! **Magnetic moment**: 0.00 μB per formula unit
! **E_form**: 350 meV/atom
&SYSTEM
  ibrav = 0, nat = 3, ntyp = 3
/
ATOMIC_SPECIES
Sc 44.96 Sc.upf
Na 22.99 Na.upf
C 12.01 C.upf
ATOMIC_POSITIONS angstrom
Sc 4.2618 4.2618 4.2618
Na 1.4206 1.4206 1.4206
C 2.8412 2.8412 2.8412
CELL_PARAMETERS angstrom
0.0000 2.8412 2.8412
2.8412 0.0000 2.8412
2.8412 2.8412 0.0000

---

Record 7
! Ho6Tl2C GGA-PBE relaxed; values from VASP
! **Polymorph energy (0 for the lowest one)**: 172 kJ/mol of formula units
! **Magnetic moment**: 0.00 μB per formula unit
! **E_form**: -152 meV/atom
&SYSTEM
  ibrav = 0, nat = 9, ntyp = 3
/
ATOMIC_SPECIES
Ho 164.93 Ho.upf
Tl 204.38 Tl.upf
C 12.01 C.upf
ATOMIC_POSITIONS angstrom
Ho 1.7861 5.1229 0.0000
Ho 1.7861 1.7722 3.0544
Ho 1.7861 -2.5606 4.4477
Ho 0.0000 1.8473 0.0000
Ho 0.0000 3.4038 5.8990
Ho 0.0000 7.7366 1.6030
Tl 0.0000 0.0070 4.9964
Tl 0.0000 4.3397 2.5056
C 1.7861 8.6605 0.0000
CELL_PARAMETERS angstrom
3.5723 0.0000 0.0000
0.0000 8.6655 0.0000
0.0000 -4.3327 7.5020

---

Record 8
! K2BiPbBr8 GGA-PBE relaxed; values from VASP
! **Magnetic moment**: 0.00 μB per formula unit
! **Uncorrected energy**: -2.92 eV/atom
&SYSTEM
  ibrav = 0, nat = 12, ntyp = 4
/
ATOMIC_SPECIES
K 39.10 K.upf
Bi 208.98 Bi.upf
Pb 207.20 Pb.upf
Br 79.90 Br.upf
ATOMIC_POSITIONS angstrom
K -8.0299 1.2081 -2.0188
K -3.8595 0.7511 -3.7373
Bi 0.0000 0.0000 0.0000
Pb -4.1212 0.4486 1.6954
Br -4.1598 -2.7975 -3.5220
Br -10.9686 0.9853 -3.2622
Br -3.5637 4.3031 -3.9480
Br -7.7297 4.7567 -2.2340
Br -0.9208 0.9740 -2.4938
Br -8.3257 -2.3439 -1.8080
Br -6.8621 0.4997 -4.9779
Br -5.0273 1.4595 -0.7781
CELL_PARAMETERS angstrom
-1.0870 5.8941 -4.2005
-2.5600 -4.8322 -4.9464
-8.2424 0.8973 3.3909

---

Record 9
! NaCo2I2 GGA-PBE relaxed; values from VASP
! **Polymorph energy (0 for the lowest one)**: 23 kJ/mol of formula units
! **Magnetic moment**: 3.41 μB per formula unit
&SYSTEM
  ibrav = 0, nat = 10, ntyp = 3
/
ATOMIC_SPECIES
I 126.90 I.upf
Na 22.99 Na.upf
Co 58.93 Co.upf
ATOMIC_POSITIONS angstrom
I -0.8873 0.2848 -5.6527
I -0.8511 3.8246 -7.3022
I -1.6239 5.4481 -3.8353
I -1.6601 1.9083 -2.1858
Na 0.0000 0.0000 0.0000
Na 0.5909 3.0084 -4.3989
Co 1.2049 1.6774 -7.1363
Co 0.6285 5.8040 -5.7498
Co -0.0230 4.3394 -1.6615
Co 0.5533 0.2128 -3.0480
CELL_PARAMETERS angstrom
-0.2916 7.4284 -1.4946
1.4735 -1.4116 -7.3031
-3.6930 -0.2839 -0.6903

---

Record 10
! Sc2MoW GGA-PBE relaxed; values from VASP
! **Polymorph energy (0 for the lowest one)**: 86 kJ/mol of formula units
! **Magnetic moment**: 0.00 μB per formula unit
! **E_form**: 252 meV/atom
&SYSTEM
  ibrav = 0, nat = 4, ntyp = 3
/
ATOMIC_SPECIES
Mo 95.94 Mo.upf
Sc 44.96 Sc.upf
W 183.84 W.upf
ATOMIC_POSITIONS angstrom
Mo -3.0786 0.4949 1.0625
Sc 0.0000 0.0000 0.0000
Sc -2.1231 -1.8639 -0.3133
W -2.1444 1.1979 -1.5284
CELL_PARAMETERS angstrom
-1.1889 -1.1609 -2.9042
-3.0572 -2.5669 2.2776
-3.0999 3.5566 -0.1526

---

Record 11
! HfBiOs2 GGA-PBE relaxed; values from VASP
! **Magnetic moment**: 0.00 μB per formula unit
! **E_form**: 763 meV/atom
&SYSTEM
  ibrav = 0, nat = 8, ntyp = 3
/
ATOMIC_SPECIES
Hf 178.49 Hf.upf
Os 190.23 Os.upf
Bi 208.98 Bi.upf
ATOMIC_POSITIONS angstrom
Hf 2.0854 2.0854 0.0000
Hf 2.0854 4.1707 4.9504
Os 2.7354 1.0427 2.4752
Os 1.4354 3.1280 2.4752
Os 3.1280 3.5207 7.4257
Os 5.2134 4.8207 7.4257
Bi 0.0000 0.0000 0.0000
Bi 4.1707 2.0854 4.9504
CELL_PARAMETERS angstrom
4.1707 0.0000 0.0000
0.0000 4.1707 0.0000
2.0854 2.0854 9.9009

---

Record 12
! CaCr7 GGA-PBE relaxed; values from VASP
! **Magnetic moment**: 2.56 μB per formula unit
! **E_form**: 959 meV/atom
&SYSTEM
  ibrav = 0, nat = 8, ntyp = 2
/
ATOMIC_SPECIES
Ca 40.08 Ca.upf
Cr 52.00 Cr.upf
ATOMIC_POSITIONS angstrom
Ca 0.0000 0.0000 0.0000
Cr -1.1742 -3.5464 -2.7024
Cr -0.5833 -2.5807 -0.2932
Cr -3.0766 -3.3264 -0.8535
Cr -2.4932 -0.7457 -0.5603
Cr -3.0841 -1.7114 -2.9696
Cr -0.5908 -0.9657 -2.4093
Cr -3.6674 -4.2921 -3.2628
CELL_PARAMETERS angstrom
-1.1667 -5.1614 -0.5863
-4.9865 -1.4914 -1.1207
-1.1816 -1.9314 -4.8186

---

Which of these has the highest magnetic moment? NaCo2I2

---

Among the records above, which one has the highest magnetic moment? NaCo2I2

---

magnetic moment of number 11 (HfBiOs2)? 0.00 μB per formula unit

---

magnetic moment of number 12 (CaCr7)? 2.56 μB per formula unit